1.
Here is an optimized crystal structure of Pm5Tm2Sc from Alexandria via LeMat-Bulk. Energies are from PBE-GGA.

Unit cell a=9.876 b=6.705 c=10.481 alpha=117.57 beta=118.11 gamma=90.00
Element x y z (fractional)
1 Pm 0.868 0.636 0.580
2 Pm 0.936 0.750 0.000
3 Pm 0.132 0.364 0.420
4 Sc 0.000 0.000 0.500
5 Tm 0.833 0.516 0.178
6 Pm 0.506 0.466 0.809
7 Pm 0.288 0.864 0.420
8 Pm 0.698 0.034 0.191
9 Pm 0.064 0.250 0.000
10 Tm 0.345 0.016 0.178
11 Tm 0.167 0.484 0.822
12 Tm 0.655 0.984 0.822
13 Pm 0.494 0.534 0.191
14 Pm 0.712 0.136 0.580
15 Sc 0.500 0.500 0.500
16 Pm 0.302 0.966 0.809

Summary:
* E above lowest polymorph: 6 meV per atom
* energy of formation from the pure elements: 0.1244 eV/atom


2.
Here is an optimized crystal structure of Pm6Tm12Sc from Alexandria via LeMat-Bulk. Energies are from PBE-GGA.

Unit cell a=8.555 b=8.555 c=8.555 alpha=79.89 beta=79.89 gamma=79.89
Element x y z (fractional)
1 Tm 0.515 0.195 0.515
2 Tm 0.805 0.485 0.485
3 Tm 0.863 0.517 0.863
4 Tm 0.195 0.515 0.515
5 Tm 0.515 0.515 0.195
6 Tm 0.485 0.805 0.485
7 Pm 0.772 0.163 0.772
8 Tm 0.485 0.485 0.805
9 Tm 0.517 0.863 0.863
10 Pm 0.228 0.837 0.228
11 Pm 0.772 0.772 0.163
12 Tm 0.863 0.863 0.517
13 Tm 0.137 0.137 0.483
14 Pm 0.837 0.228 0.228
15 Tm 0.483 0.137 0.137
16 Tm 0.137 0.483 0.137
17 Sc 0.000 0.000 0.000
18 Pm 0.228 0.228 0.837
19 Pm 0.163 0.772 0.772

Summary:
* energy of formation from the pure elements: 0.1132 eV/atom


3.
Here is an optimized crystal structure of PmTm5Sc2 from Alexandria via LeMat-Bulk. Energies are from PBE-GGA.

Unit cell a=6.875 b=6.876 c=6.907 alpha=119.84 beta=119.85 gamma=90.00
Element x y z (fractional)
1 Tm 0.722 0.722 0.944
2 Sc 0.222 0.722 0.444
3 Tm 0.222 0.722 0.944
4 Sc 0.722 0.222 0.444
5 Pm 0.222 0.222 0.444
6 Tm 0.222 0.222 0.944
7 Tm 0.722 0.222 0.944
8 Tm 0.722 0.722 0.445

Summary:
* E above lowest polymorph: 21 meV per atom
* energy of formation from the pure elements: 0.0453 eV/atom


Number 1: E_tot -0.34942 Ry/atom. Number 2: E_tot -0.33400 Ry/atom. Number 3: E_tot -0.36206 Ry/atom.